No. 1
# Nd6Y2HoEr | the Alexandria database | PBE | relaxed
# Size of the total moment, μB per formula unit: 0.00
# V, Å³/f.u.: 341.4
# Formation enthalpy at 0 K, meV/atom: 118
data_Nd6Y2HoEr
_chemical_formula_sum 'Nd24 Y8 Ho4 Er4'
_symmetry_space_group_name_H-M 'C 1 2/c 1'
_symmetry_Int_Tables_number 15
_symmetry_space_group_name_Hall '-C 2yc'
_cell_length_a 9.330
_cell_length_b 15.358
_cell_length_c 9.597
_cell_angle_alpha 90.00
_cell_angle_beta 96.74
_cell_angle_gamma 90.00
loop_
_atom_site_label
_atom_site_fract_x
_atom_site_fract_y
_atom_site_fract_z
_atom_site_occupancy
Nd1 0.060 0.176 0.444 1
Nd2 0.097 0.389 0.617 1
Nd3 0.213 0.222 0.811 1
Y1 0.249 0.048 0.047 1
Ho1 0.000 0.411 0.250 1
Er1 0.000 0.030 0.750 1

***

No. 2
# RbTa3Pd4Se12 | the Alexandria database | PBE | relaxed
# Energy relative to the elements, uncorrected, eV per formula unit: -7.5
# Size of the total moment, μB per formula unit: 0.00
# V, Å³/f.u.: 540.9
data_RbTa3Pd4Se12
_chemical_formula_sum 'Rb3 Ta9 Pd12 Se36'
_symmetry_space_group_name_H-M 'R 3 2'
_symmetry_Int_Tables_number 155
_symmetry_space_group_name_Hall 'R 3 2"'
_cell_length_a 15.0154
_cell_length_b 15.0154
_cell_length_c 8.3111
_cell_angle_alpha 90.00
_cell_angle_beta 90.00
_cell_angle_gamma 120.00
loop_
_atom_site_label
_atom_site_fract_x
_atom_site_fract_y
_atom_site_fract_z
_atom_site_occupancy
Rb1 0.0000 0.0000 0.0000 1
Ta1 0.0000 0.5553 0.0000 1
Pd1 0.0000 0.0000 0.5000 1
Pd2 0.0000 0.4462 0.5000 1
Se1 0.0000 0.6075 0.5000 1
Se2 0.0000 0.8352 0.5000 1
Se3 0.0487 0.4683 0.7969 1

***

No. 3
# Tm3In3CoRu2 | the Alexandria database | PBE | relaxed
# Size of the total moment, μB per formula unit: 0.00
# V, Å³/f.u.: 182.3
# Formation enthalpy at 0 K, meV/atom: -359
data_Tm3In3CoRu2
_chemical_formula_sum 'Tm3 In3 Co1 Ru2'
_symmetry_space_group_name_H-M 'P -6 2 m'
_symmetry_Int_Tables_number 189
_symmetry_space_group_name_Hall 'P -6 -2'
_cell_length_a 7.4484
_cell_length_b 7.4484
_cell_length_c 3.7950
_cell_angle_alpha 90.00
_cell_angle_beta 90.00
_cell_angle_gamma 120.00
loop_
_atom_site_label
_atom_site_fract_x
_atom_site_fract_y
_atom_site_fract_z
_atom_site_occupancy
Tm1 0.0000 0.4068 0.0000 1
In1 0.0000 0.7476 0.5000 1
Co1 0.0000 0.0000 0.0000 1
Ru1 0.3333 0.6667 0.5000 1

***

No. 4
# TbNpTe2N | the Alexandria database | PBE | relaxed
# Energy relative to the elements, uncorrected, eV per formula unit: -5.9
# Size of the total moment, μB per formula unit: 2.83
# V, Å³/f.u.: 132.2
data_TbNpTe2N
_chemical_formula_sum 'Tb2 Np2 Te4 N2'
_symmetry_space_group_name_H-M 'P 4/n m m'
_symmetry_Int_Tables_number 129
_cell_length_a 4.054
_cell_length_b 4.054
_cell_length_c 16.083
_cell_angle_alpha 90.00
_cell_angle_beta 90.00
_cell_angle_gamma 90.00
loop_
_symmetry_equiv_pos_as_xyz
'x,y,z'
'-x,-y,-z'
'-y+1/2,x,z'
'y+1/2,-x,-z'
'-x+1/2,-y+1/2,z'
'x+1/2,y+1/2,-z'
'y,-x+1/2,z'
'-y,x+1/2,-z'
'x+1/2,-y,-z'
'-x+1/2,y,z'
'-y,-x,-z'
'y,x,z'
'-x,y+1/2,-z'
'x,-y+1/2,z'
'y+1/2,x+1/2,-z'
'-y+1/2,-x+1/2,z'
loop_
_atom_site_label
_atom_site_fract_x
_atom_site_fract_y
_atom_site_fract_z
_atom_site_occupancy
Tb1 0.250 0.250 0.140 1
Np1 0.250 0.250 0.566 1
Te1 0.250 0.250 0.322 1
Te2 0.250 0.250 0.918 1
N1 0.250 0.750 0.500 1

***

No. 5
# Sm5Er6Sc | the Alexandria database | PBE | relaxed
# Size of the total moment, μB per formula unit: 0.00
# V, Å³/f.u.: 375.7
# Formation enthalpy at 0 K, meV/atom: 31
data_Sm5Er6Sc
_chemical_formula_sum 'Sm10 Er12 Sc2'
_symmetry_space_group_name_H-M 'I m m m'
_symmetry_Int_Tables_number 71
_symmetry_space_group_name_Hall '-I 2 2'
_cell_length_a 5.005
_cell_length_b 9.986
_cell_length_c 15.035
_cell_angle_alpha 90.00
_cell_angle_beta 90.00
_cell_angle_gamma 90.00
loop_
_atom_site_label
_atom_site_fract_x
_atom_site_fract_y
_atom_site_fract_z
_atom_site_occupancy
Sm1 0.000 0.000 0.000 1
Sm2 0.000 0.000 0.336 1
Sm3 0.000 0.500 0.334 1
Er1 0.000 0.246 0.500 1
Er2 0.000 0.253 0.165 1
Sc1 0.000 0.500 0.000 1

***

No. 6
# Mg4CdPd7 | the Alexandria database | PBE | relaxed
# Size of the total moment, μB per formula unit: 0.00
# V, Å³/f.u.: 217.3
# Formation enthalpy at 0 K, meV/atom: -353
data_Mg4CdPd7
_chemical_formula_sum 'Mg8 Cd2 Pd14'
_symmetry_space_group_name_H-M 'C 1 2/m 1'
_symmetry_Int_Tables_number 12
_symmetry_space_group_name_Hall '-C 2y'
_cell_length_a 10.629
_cell_length_b 4.952
_cell_length_c 9.530
_cell_angle_alpha 90.00
_cell_angle_beta 119.95
_cell_angle_gamma 90.00
loop_
_atom_site_label
_atom_site_fract_x
_atom_site_fract_y
_atom_site_fract_z
_atom_site_occupancy
Mg1 0.088 0.000 0.272 1
Mg2 0.248 0.500 0.169 1
Cd1 0.000 0.500 0.500 1
Pd1 0.000 0.000 0.500 1
Pd2 0.063 0.500 0.839 1
Pd3 0.140 0.000 0.025 1
Pd4 0.213 0.500 0.419 1

***

No. 7
# CaNdEuZn | the Alexandria database | PBE | relaxed
# Size of the total moment, μB per formula unit: 7.64
# V, Å³/f.u.: 122.4
# Formation enthalpy at 0 K, meV/atom: 74
data_CaNdEuZn
_chemical_formula_sum 'Ca4 Nd4 Eu4 Zn4'
_symmetry_space_group_name_H-M 'F -4 3 m'
_symmetry_Int_Tables_number 216
_symmetry_space_group_name_Hall 'F -4 2 3'
_cell_length_a 7.881
_cell_length_b 7.881
_cell_length_c 7.881
_cell_angle_alpha 90.00
_cell_angle_beta 90.00
_cell_angle_gamma 90.00
loop_
_atom_site_label
_atom_site_fract_x
_atom_site_fract_y
_atom_site_fract_z
_atom_site_occupancy
Ca1 0.000 0.000 0.000 1
Nd1 0.000 0.000 0.500 1
Eu1 0.250 0.250 0.750 1
Zn1 0.250 0.250 0.250 1

***

No. 8
# SbPd4Pb2 | the Alexandria database | PBE | relaxed
# Energy relative to the elements, uncorrected, eV per formula unit: -2.0
# Size of the total moment, μB per formula unit: 0.00
# V, Å³/f.u.: 142.9
# E above lowest polymorph, eV per atom: 0.0000
data_SbPd4Pb2
_chemical_formula_sum 'Sb4 Pd16 Pb8'
_symmetry_space_group_name_H-M 'P n m a'
_symmetry_Int_Tables_number 62
_symmetry_space_group_name_Hall '-P 2ac 2n'
_cell_length_a 10.538
_cell_length_b 4.311
_cell_length_c 12.580
_cell_angle_alpha 90.00
_cell_angle_beta 90.00
_cell_angle_gamma 90.00
loop_
_atom_site_label
_atom_site_fract_x
_atom_site_fract_y
_atom_site_fract_z
_atom_site_occupancy
Sb1 0.231 0.250 0.176 1
Pd1 0.009 0.750 0.694 1
Pd2 0.081 0.750 0.164 1
Pd3 0.161 0.250 0.563 1
Pd4 0.172 0.250 0.787 1
Pb1 0.102 0.750 0.929 1
Pb2 0.109 0.750 0.418 1

***

Q: Which of these has the lowest V?
A: CaNdEuZn

***

Q: What is the formula in the sixth record?
A: Mg4CdPd7

***

Q: What is the formula in the fourth record?
A: TbNpTe2N

***

Q: Which value of size of the total moment does entry 7 give?
A: 7.64 μB per formula unit